Material: PaHgTe3
Method: DFT, PBE-GGA
State: optimized geometry

Geometry as CIF:
```
data_PaHgTe3
_chemical_formula_sum 'Pa6 Hg6 Te18'
_symmetry_space_group_name_H-M 'R -3'
_symmetry_Int_Tables_number 148
_symmetry_space_group_name_Hall '-R 3'
_cell_length_a 7.7524
_cell_length_b 7.7524
_cell_length_c 20.4722
_cell_angle_alpha 90.00
_cell_angle_beta 90.00
_cell_angle_gamma 120.00
loop_
_atom_site_label
_atom_site_type_symbol
_atom_site_fract_x
_atom_site_fract_y
_atom_site_fract_z
Pa1 Pa 0.0000 0.0000 0.1752
Hg1 Hg 0.0000 0.0000 0.3411
Te1 Te 0.0016 0.3189 0.0893
```

E_form (uncorrected) in meV per atom: -481
Energy relative to the lowest polymorph listed for this composition in eV per formula unit: 0.28

=====

Material: NaAgSbC2
Method: DFT, PBE-GGA
State: optimized geometry

Geometry as CIF:
```
data_NaAgSbC2
_chemical_formula_sum 'Na1 Ag1 Sb1 C2'
_symmetry_space_group_name_H-M 'P 4/m m m'
_symmetry_Int_Tables_number 123
_symmetry_space_group_name_Hall '-P 4 2'
_cell_length_a 4.3662
_cell_length_b 4.3662
_cell_length_c 5.3628
_cell_angle_alpha 90.00
_cell_angle_beta 90.00
_cell_angle_gamma 90.00
loop_
_atom_site_label
_atom_site_type_symbol
_atom_site_fract_x
_atom_site_fract_y
_atom_site_fract_z
Na1 Na 0.0000 0.0000 0.0000
Ag1 Ag 0.5000 0.5000 0.0000
Sb1 Sb 0.5000 0.5000 0.5000
C1 C 0.0000 0.5000 0.5000
```

E_form (uncorrected) in meV per atom: 1876

=====

Material: NaDyHo
Method: DFT, PBE-GGA
State: optimized geometry

Geometry as CIF:
```
data_NaDyHo
_chemical_formula_sum 'Na2 Dy2 Ho2'
_symmetry_space_group_name_H-M 'P -1'
_symmetry_Int_Tables_number 2
_symmetry_space_group_name_Hall '-P 1'
_cell_length_a 3.5313
_cell_length_b 6.6896
_cell_length_c 8.9129
_cell_angle_alpha 76.55
_cell_angle_beta 89.93
_cell_angle_gamma 74.72
loop_
_atom_site_label
_atom_site_type_symbol
_atom_site_fract_x
_atom_site_fract_y
_atom_site_fract_z
Na1 Na 0.1388 0.2248 0.0214
Dy1 Dy 0.4707 0.5588 0.6741
Ho1 Ho 0.1949 0.1090 0.6267
```

Energy relative to the lowest polymorph listed for this composition in eV per formula unit: 0.05
ΔH_f (0 K) in meV per atom: 158.6

=====

Material: Zr2InPt
Method: DFT, PBE-GGA
State: optimized geometry

Geometry as CIF:
```
data_Zr2InPt
_chemical_formula_sum 'Zr6 In3 Pt3'
_symmetry_space_group_name_H-M 'R -3 m'
_symmetry_Int_Tables_number 166
_symmetry_space_group_name_Hall '-R 3 2"'
_cell_length_a 3.5477
_cell_length_b 3.5477
_cell_length_c 25.2857
_cell_angle_alpha 90.00
_cell_angle_beta 90.00
_cell_angle_gamma 120.00
loop_
_atom_site_label
_atom_site_type_symbol
_atom_site_fract_x
_atom_site_fract_y
_atom_site_fract_z
Zr1 Zr 0.0000 0.0000 0.2368
In1 In 0.0000 0.0000 0.0000
Pt1 Pt 0.0000 0.0000 0.5000
```

ΔH_f (0 K) in meV per atom: -396.2

=====

Material: KPNO2
Method: DFT, PBE-GGA
State: optimized geometry

Geometry as CIF:
```
data_KPNO2
_chemical_formula_sum 'K1 P1 N1 O2'
_symmetry_space_group_name_H-M 'P 4/m m m'
_symmetry_Int_Tables_number 123
_symmetry_space_group_name_Hall '-P 4 2'
_cell_length_a 4.4395
_cell_length_b 4.4395
_cell_length_c 3.4377
_cell_angle_alpha 90.00
_cell_angle_beta 90.00
_cell_angle_gamma 90.00
loop_
_atom_site_label
_atom_site_type_symbol
_atom_site_fract_x
_atom_site_fract_y
_atom_site_fract_z
K1 K 0.0000 0.0000 0.0000
P1 P 0.5000 0.5000 0.0000
N1 N 0.5000 0.5000 0.5000
O1 O 0.0000 0.5000 0.5000
```

E_form (uncorrected) in meV per atom: 662

=====

Material: TbZn9Au2
Method: DFT, PBE-GGA
State: optimized geometry

Geometry as CIF:
```
data_TbZn9Au2
_chemical_formula_sum 'Tb4 Zn36 Au8'
_symmetry_space_group_name_H-M 'I 41/a m d'
_symmetry_Int_Tables_number 141
_cell_length_a 10.7468
_cell_length_b 10.7468
_cell_length_c 6.9236
_cell_angle_alpha 90.00
_cell_angle_beta 90.00
_cell_angle_gamma 90.00
loop_
_symmetry_equiv_pos_as_xyz
'x,y,z'
'-x,-y,-z'
'-y+1/4,x+3/4,z+1/4'
'y+1/4,-x+3/4,-z+1/4'
'-x+1/2,-y,z+1/2'
'x+1/2,y,-z+1/2'
'y+1/4,-x+1/4,z+3/4'
'-y+1/4,x+1/4,-z+3/4'
'x,-y,-z'
'-x,y,z'
'-y+1/4,-x+1/4,-z+3/4'
'y+1/4,x+1/4,z+3/4'
'-x+1/2,y,-z+1/2'
'x+1/2,-y,z+1/2'
'y+1/4,x+3/4,-z+1/4'
'-y+1/4,-x+3/4,z+1/4'
'x+1/2,y+1/2,z+1/2'
'-x+1/2,-y+1/2,-z+1/2'
'-y+3/4,x+1/4,z+3/4'
'y+3/4,-x+1/4,-z+3/4'
'-x,-y+1/2,z'
'x,y+1/2,-z'
'y+3/4,-x+3/4,z+1/4'
'-y+3/4,x+3/4,-z+1/4'
'x+1/2,-y+1/2,-z+1/2'
'-x+1/2,y+1/2,z+1/2'
'-y+3/4,-x+3/4,-z+1/4'
'y+3/4,x+3/4,z+1/4'
'-x,y+1/2,-z'
'x,-y+1/2,z'
'y+3/4,x+1/4,-z+3/4'
'-y+3/4,-x+1/4,z+3/4'
loop_
_atom_site_label
_atom_site_type_symbol
_atom_site_fract_x
_atom_site_fract_y
_atom_site_fract_z
Tb1 Tb 0.0000 0.2500 0.3750
Zn1 Zn 0.0000 0.2500 0.8750
Zn2 Zn 0.1205 0.0425 0.6710
Au1 Au 0.0000 0.0000 0.0000
```

Energy relative to the lowest polymorph listed for this composition in eV per formula unit: 0.00
ΔH_f (0 K) in meV per atom: -272.9

=====

Material: Na2NF6
Method: DFT, PBE-GGA
State: optimized geometry

Geometry as CIF:
```
data_Na2NF6
_chemical_formula_sum 'Na4 N2 F12'
_symmetry_space_group_name_H-M 'P 42/m n m'
_symmetry_Int_Tables_number 136
_symmetry_space_group_name_Hall '-P 4n 2n'
_cell_length_a 4.9051
_cell_length_b 4.9051
_cell_length_c 9.5731
_cell_angle_alpha 90.00
_cell_angle_beta 90.00
_cell_angle_gamma 90.00
loop_
_atom_site_label
_atom_site_type_symbol
_atom_site_fract_x
_atom_site_fract_y
_atom_site_fract_z
Na1 Na 0.0000 0.0000 0.1651
N1 N 0.0000 0.0000 0.5000
F1 F 0.1729 0.1729 0.3710
F2 F 0.2453 0.7547 0.5000
```

E_form (uncorrected) in meV per atom: -1108
Energy relative to the lowest polymorph listed for this composition in eV per formula unit: 0.49

=====

Material: CrAs2Pb
Method: DFT, PBE-GGA
State: optimized geometry

Geometry as CIF:
```
data_CrAs2Pb
_chemical_formula_sum 'Cr1 As2 Pb1'
_symmetry_space_group_name_H-M 'P 1 2/m 1'
_symmetry_Int_Tables_number 10
_symmetry_space_group_name_Hall '-P 2y'
_cell_length_a 4.3144
_cell_length_b 3.8008
_cell_length_c 5.7791
_cell_angle_alpha 90.00
_cell_angle_beta 109.35
_cell_angle_gamma 90.00
loop_
_atom_site_label
_atom_site_type_symbol
_atom_site_fract_x
_atom_site_fract_y
_atom_site_fract_z
Cr1 Cr 0.0000 0.0000 0.0000
As1 As 0.2465 0.5000 0.8180
Pb1 Pb 0.5000 0.0000 0.5000
```

ΔH_f (0 K) in meV per atom: 149.2

=====

Material: RbSnHgAs2
Method: DFT, PBE-GGA
State: optimized geometry

Geometry as CIF:
```
data_RbSnHgAs2
_chemical_formula_sum 'Rb1 Sn1 Hg1 As2'
_symmetry_space_group_name_H-M 'P 4/m m m'
_symmetry_Int_Tables_number 123
_symmetry_space_group_name_Hall '-P 4 2'
_cell_length_a 5.3524
_cell_length_b 5.3524
_cell_length_c 5.8608
_cell_angle_alpha 90.00
_cell_angle_beta 90.00
_cell_angle_gamma 90.00
loop_
_atom_site_label
_atom_site_type_symbol
_atom_site_fract_x
_atom_site_fract_y
_atom_site_fract_z
Rb1 Rb 0.0000 0.0000 0.0000
Sn1 Sn 0.5000 0.5000 0.0000
Hg1 Hg 0.0000 0.0000 0.5000
As1 As 0.0000 0.5000 0.5000
```

ΔH_f (0 K) in meV per atom: 570.7

=====

Material: NaGaHgBi
Method: DFT, PBE-GGA
State: optimized geometry

Geometry as CIF:
```
data_NaGaHgBi
_chemical_formula_sum 'Na4 Ga4 Hg4 Bi4'
_symmetry_space_group_name_H-M 'F -4 3 m'
_symmetry_Int_Tables_number 216
_symmetry_space_group_name_Hall 'F -4 2 3'
_cell_length_a 7.4959
_cell_length_b 7.4959
_cell_length_c 7.4959
_cell_angle_alpha 90.00
_cell_angle_beta 90.00
_cell_angle_gamma 90.00
loop_
_atom_site_label
_atom_site_type_symbol
_atom_site_fract_x
_atom_site_fract_y
_atom_site_fract_z
Na1 Na 0.0000 0.0000 0.0000
Ga1 Ga 0.2500 0.2500 0.7500
Hg1 Hg 0.2500 0.2500 0.2500
Bi1 Bi 0.0000 0.0000 0.5000
```

ΔH_f (0 K) in meV per atom: -76.0

=====

Material: ScBiBOs2
Method: DFT, PBE-GGA
State: optimized geometry

Geometry as CIF:
```
data_ScBiBOs2
_chemical_formula_sum 'Sc1 Bi1 B1 Os2'
_symmetry_space_group_name_H-M 'P 4/m m m'
_symmetry_Int_Tables_number 123
_symmetry_space_group_name_Hall '-P 4 2'
_cell_length_a 5.0222
_cell_length_b 5.0222
_cell_length_c 4.4362
_cell_angle_alpha 90.00
_cell_angle_beta 90.00
_cell_angle_gamma 90.00
loop_
_atom_site_label
_atom_site_type_symbol
_atom_site_fract_x
_atom_site_fract_y
_atom_site_fract_z
Sc1 Sc 0.0000 0.0000 0.0000
Bi1 Bi 0.5000 0.5000 0.5000
B1 B 0.5000 0.5000 0.0000
Os1 Os 0.0000 0.5000 0.5000
```

ΔH_f (0 K) in meV per atom: 2235.3

=====

Material: LiZnCu2
Method: DFT, PBE-GGA
State: optimized geometry

Geometry as CIF:
```
data_LiZnCu2
_chemical_formula_sum 'Li3 Zn3 Cu6'
_symmetry_space_group_name_H-M 'R -3 m'
_symmetry_Int_Tables_number 166
_symmetry_space_group_name_Hall '-R 3 2"'
_cell_length_a 2.6395
_cell_length_b 2.6395
_cell_length_c 25.9224
_cell_angle_alpha 90.00
_cell_angle_beta 90.00
_cell_angle_gamma 120.00
loop_
_atom_site_label
_atom_site_type_symbol
_atom_site_fract_x
_atom_site_fract_y
_atom_site_fract_z
Li1 Li 0.0000 0.0000 0.0000
Zn1 Zn 0.0000 0.0000 0.5000
Cu1 Cu 0.0000 0.0000 0.2506
```

ΔH_f (0 K) in meV per atom: -43.4

=====

no.,calculated density (g cm⁻³),volume (A^3/atom)
1,7.62,35.52
2,4.49,20.45
3,5.90,32.85
4,8.90,22.97
5,2.84,13.55
6,9.48,16.66
7,2.51,12.80
8,7.60,22.35
9,5.49,33.58
10,7.92,26.32
11,9.58,22.38
12,6.35,13.03